No. 1
Below is a PBEsol-optimized structure of RbNd2CuS4, with properties calculated at the meta-GGA SCAN level.

Cell and atoms, written as POSCAR:
```
RbNd2CuS4
1.0
2.013 -6.976 0.000
2.013 6.976 0.000
0.000 0.000 13.831
Rb Nd Cu S
2 4 2 8
Cartesian
2.013 5.506 10.373
2.013 -5.506 3.458
2.013 1.880 7.760
2.013 1.880 12.987
2.013 -1.880 0.844
2.013 -1.880 6.072
2.013 4.688 3.458
2.013 -4.688 10.373
0.000 0.000 0.000
0.000 0.000 6.916
2.013 3.331 1.584
2.013 3.331 5.332
2.013 1.040 10.373
2.013 -1.040 3.458
2.013 -3.331 8.500
2.013 -3.331 12.247
```

Calculated values
Uncorrected energy: -22.08 eV/atom


No. 2
Below is a PBEsol-optimized structure of Nd3CuSnS7, with properties calculated at the meta-GGA SCAN level.

Cell and atoms, written as POSCAR:
```
Nd3CuSnS7
1.0
10.063 0.000 0.000
-5.031 8.715 0.000
0.000 0.000 5.924
Nd Cu Sn S
6 2 2 14
Cartesian
-0.443 3.107 0.000
-2.119 7.545 0.000
2.469 1.937 2.962
2.562 6.777 0.000
7.151 1.170 2.962
5.475 5.608 2.962
0.000 0.000 0.215
0.000 0.000 3.177
0.000 5.810 2.519
5.031 2.905 5.481
-2.019 4.994 1.497
-0.298 2.217 3.107
-2.963 7.864 3.107
1.771 1.366 0.146
0.000 5.810 4.869
1.716 4.470 1.497
0.303 7.966 1.497
4.729 0.749 4.458
3.316 4.245 4.458
5.031 2.905 1.907
3.261 7.349 3.107
7.994 0.851 0.146
5.329 6.498 0.146
7.050 3.721 4.458
```

Calculated values
Uncorrected energy: -22.44 eV/atom